A relaxed As2HSe2 crystal. Source: Alexandria, functional PBE-GGA.

Output
Calculated volume in Å³/cell: 202.48
Energy in eV/atom: -3.3132
Magnetic moment in μB/atom: 0.000
Energy relative to the lowest polymorph listed for this composition in kJ/mol of atoms: 0.0
Symmetry: P4/mbm, No. 127

a = 7.5314 Å, b = 7.5314 Å, c = 3.5697 Å
α = 90.00°, β = 90.00°, γ = 90.00°
Positions (direct):
As (0.1403, 0.3597, 0.0000)
As (0.3597, 0.8597, 0.0000)
As (0.6403, 0.1403, 0.0000)
As (0.8597, 0.6403, 0.0000)
H (0.0000, 0.0000, 0.5000)
H (0.5000, 0.5000, 0.5000)
Se (0.1996, 0.6996, 0.5000)
Se (0.3004, 0.1996, 0.5000)
Se (0.6996, 0.8004, 0.5000)
Se (0.8004, 0.3004, 0.5000)

A relaxed CaMgHg14 crystal. Source: Alexandria, functional PBE-GGA.

Output
Calculated volume in Å³/cell: 413.07
Energy in eV/atom: -0.5873
Magnetic moment in μB/atom: 0.000
Formation energy from the elements in eV per atom: -0.098
Symmetry: Amm2, No. 38

a = 7.3881 Å, b = 7.4773 Å, c = 7.4773 Å
α = 89.99°, β = 90.00°, γ = 90.00°
Positions (direct):
Ca (0.0000, 0.0000, 0.0000)
Mg (0.0000, 0.4981, 0.4981)
Hg (0.0000, 0.0004, 0.5002)
Hg (0.0000, 0.5002, 0.0004)
Hg (0.2491, 0.2571, 0.7436)
Hg (0.2486, 0.7431, 0.7431)
Hg (0.2491, 0.7436, 0.2571)
Hg (0.2497, 0.2565, 0.2565)
Hg (0.5000, 0.0001, 0.0001)
Hg (0.5000, 0.0002, 0.5006)
Hg (0.5000, 0.5002, 0.5002)
Hg (0.5000, 0.5006, 0.0002)
Hg (0.7503, 0.2565, 0.2565)
Hg (0.7509, 0.2571, 0.7436)
Hg (0.7514, 0.7431, 0.7431)
Hg (0.7509, 0.7436, 0.2571)

Please write out number 2 again, unchanged.
A relaxed CaMgHg14 crystal. Source: Alexandria, functional PBE-GGA.

Output
Calculated volume in Å³/cell: 413.07
Energy in eV/atom: -0.5873
Magnetic moment in μB/atom: 0.000
Formation energy from the elements in eV per atom: -0.098
Symmetry: Amm2, No. 38

a = 7.3881 Å, b = 7.4773 Å, c = 7.4773 Å
α = 89.99°, β = 90.00°, γ = 90.00°
Positions (direct):
Ca (0.0000, 0.0000, 0.0000)
Mg (0.0000, 0.4981, 0.4981)
Hg (0.0000, 0.0004, 0.5002)
Hg (0.0000, 0.5002, 0.0004)
Hg (0.2491, 0.2571, 0.7436)
Hg (0.2486, 0.7431, 0.7431)
Hg (0.2491, 0.7436, 0.2571)
Hg (0.2497, 0.2565, 0.2565)
Hg (0.5000, 0.0001, 0.0001)
Hg (0.5000, 0.0002, 0.5006)
Hg (0.5000, 0.5002, 0.5002)
Hg (0.5000, 0.5006, 0.0002)
Hg (0.7503, 0.2565, 0.2565)
Hg (0.7509, 0.2571, 0.7436)
Hg (0.7514, 0.7431, 0.7431)
Hg (0.7509, 0.7436, 0.2571)